The following is a DFT calculation (PBE) of a relaxed structure of La2ScSnPd6.

The calculation puts the volume at 20.9 A^3/atom. As for the spin magnetization: 0.000 μB per atom. For the density of states at the Fermi level, the calculation gives 6.666 states/eV/cell. As for the energy of formation from the pure elements: -0.66 eV/atom.

It has space group P-1 (No. 2), with a = 5.739 Å, b = 6.715 Å, c = 6.731 Å, α = 87.34°, β = 64.78° and γ = 64.76°. The inequivalent atoms are La at (0.242, 0.256, 0.259), Sc at (0.000, 0.000, 0.000), Sn at (0.500, 0.500, 0.500), Pd at (0.191, 0.818, 0.302), Pd at (0.247, 0.562, 0.945) and Pd at (0.310, 0.182, 0.697).

The following is a DFT calculation (PBE) of a relaxed structure of NdTmGaSn.

The energy relative to the lowest polymorph listed for this composition comes out at 0.0 meV per atom. The calculation puts the volume at 26.7 A^3/atom. As for the spin magnetization: 0.000 μB per atom. For the density of states at the Fermi level, the calculation gives 7.064 states/eV/cell. As for the energy of formation from the pure elements: -0.68 eV/atom.

It has space group Amm2 (No. 38), with a = 4.191 Å, b = 4.516 Å, c = 11.283 Å, α = 90.00°, β = 90.00° and γ = 90.00°. The inequivalent atoms are Nd at (0.000, 0.000, 0.000), Tm at (0.500, 0.000, 0.278), Ga at (0.500, 0.000, 0.552) and Sn at (0.000, 0.000, 0.718).

The following is a DFT calculation (PBE) of a relaxed structure of InCo4Os.

The calculation puts the volume at 13.0 A^3/atom. As for the spin magnetization: 1.241 μB per atom. For the density of states at the Fermi level, the calculation gives 27.378 states/eV/cell. As for the energy of formation from the pure elements: 0.24 eV/atom.

It has space group F-43m (No. 216), with a = 6.776 Å, b = 6.776 Å, c = 6.776 Å, α = 90.00°, β = 90.00° and γ = 90.00°. The inequivalent atoms are In at (0.000, 0.000, 0.000), Co at (0.125, 0.125, 0.375) and Os at (0.250, 0.250, 0.750).

The following is a DFT calculation (PBE) of a relaxed structure of Li8CaRh4.

The calculation puts the volume at 16.0 A^3/atom. As for the spin magnetization: 0.047 μB per atom. For the density of states at the Fermi level, the calculation gives 12.763 states/eV/cell. As for the energy of formation from the pure elements: -0.18 eV/atom.

It has space group I4/mmm (No. 139), with a = 9.069 Å, b = 9.069 Å, c = 5.054 Å, α = 90.00°, β = 90.00° and γ = 90.00°. The inequivalent atoms are Li at (0.000, 0.230, 0.000), Li at (0.000, 0.341, 0.500), Ca at (0.000, 0.000, 0.500) and Rh at (0.250, 0.250, 0.250).

The following is a DFT calculation (PBE) of a relaxed structure of Ce2PmY3Sb6.

The calculation puts the volume at 31.1 A^3/atom. As for the spin magnetization: 0.126 μB per atom. For the density of states at the Fermi level, the calculation gives 26.193 states/eV/cell. Its raw formation energy is -1.132 eV/atom.

It has space group C2/m (No. 12), with a = 7.707 Å, b = 13.347 Å, c = 7.688 Å, α = 90.00°, β = 109.51° and γ = 90.00°. The inequivalent atoms are Ce at (0.000, 0.167, 0.000), Pm at (0.000, 0.500, 0.000), Y at (0.000, 0.000, 0.500), Y at (0.000, 0.334, 0.500), Sb at (0.248, 0.167, 0.744) and Sb at (0.249, 0.500, 0.744).

The following is a DFT calculation (PBE) of a relaxed structure of Al4FeAg.

The energy relative to the lowest polymorph listed for this composition comes out at 0.0 meV per atom. The calculation puts the volume at 17.3 A^3/atom. As for the spin magnetization: 0.088 μB per atom. For the density of states at the Fermi level, the calculation gives 10.662 states/eV/cell. As for the energy of formation from the pure elements: -0.07 eV/atom.

It has space group I4_1/amd (No. 141, origin choice 2), with a = 6.030 Å, b = 6.030 Å, c = 11.406 Å, α = 90.00°, β = 90.00° and γ = 90.00°. The inequivalent atoms are Al at (0.216, 0.000, 0.000), Fe at (0.000, 0.250, 0.875) and Ag at (0.000, 0.250, 0.375).